This record from Alexandria describes a crystal of LaNi2Au relaxed with PBEsol. The functional is SCAN.

Summary:
* theoretical density: 11239 kg/m³
* energy of formation: -0.18 eV per atom

a b c (Å): 4.558 4.558 4.558
angles (deg): 60.00 60.00 60.00
Fractional positions:
La1 0.000 0.000 0.000
Ni1 0.250 0.250 0.250
Ni2 0.750 0.750 0.750
Au1 0.500 0.500 0.500

***

This record from Alexandria describes a crystal of LaNiAu2 relaxed with PBEsol. The functional is SCAN.

Summary:
* theoretical density: 12508 kg/m³
* energy of formation: -0.47 eV per atom

a b c (Å): 3.877 5.578 5.578
angles (deg): 40.62 90.00 90.00
Fractional positions:
La1 0.000 0.000 0.000
Ni1 0.500 0.568 0.568
Au1 0.000 0.725 0.725
Au2 0.500 0.312 0.312